[1]
This record from the Alexandria database describes an optimized crystal structure of LaNd6Ho2Mg. The functional is GGA-PBE.

Unit cell a=9.5990 b=8.6427 c=8.6427 alpha=106.28 beta=96.73 gamma=96.73
Closest atoms and distances in Å follow each position.
Sites, in units of the cell vectors:
La 0.2500 0.9348 0.0652  2 Nd 3.27, 2 Ho 3.40
La 0.7500 0.0652 0.9348  2 Nd 3.27, 2 Ho 3.40
Nd 0.0745 0.0795 0.7348  4 Nd 3.40-3.78, 1 Ho 3.46, 1 Mg 3.63, 2 La 3.73-3.74
Nd 0.4255 0.2652 0.9205  4 Nd 3.40-3.78, 1 Ho 3.46, 1 Mg 3.63, 2 La 3.73-3.74
Nd 0.9255 0.9205 0.2652  4 Nd 3.40-3.78, 1 Ho 3.46, 1 Mg 3.63, 2 La 3.73-3.74
Nd 0.5745 0.7348 0.0795  4 Nd 3.40-3.78, 1 Ho 3.46, 1 Mg 3.63, 2 La 3.73-3.74
Nd 0.3299 0.0322 0.4623  1 La 3.27, 1 Mg 3.29, 3 Nd 3.39-3.57, 2 Ho 3.55-3.58
Nd 0.1701 0.5377 0.9678  1 La 3.27, 1 Mg 3.29, 3 Nd 3.39-3.57, 2 Ho 3.55-3.58
Nd 0.6701 0.9678 0.5377  1 La 3.27, 1 Mg 3.29, 3 Nd 3.39-3.57, 2 Ho 3.55-3.58
Nd 0.8299 0.4623 0.0322  1 La 3.27, 1 Mg 3.29, 3 Nd 3.39-3.57, 2 Ho 3.55-3.58
Nd 0.0959 0.6712 0.4373  2 Mg 3.27-3.43, 3 Nd 3.37-3.56, 2 Ho 3.49-3.52
Nd 0.4041 0.5627 0.3288  2 Mg 3.27-3.43, 3 Nd 3.37-3.56, 2 Ho 3.49-3.52
Nd 0.9041 0.3288 0.5627  2 Mg 3.27-3.43, 3 Nd 3.37-3.56, 2 Ho 3.49-3.52
Nd 0.5959 0.4373 0.6712  2 Mg 3.27-3.43, 3 Nd 3.37-3.56, 2 Ho 3.49-3.52
Ho 0.4062 0.7973 0.7304  1 Mg 3.39, 2 La 3.40-3.73, 6 Nd 3.46-3.73
Ho 0.0938 0.2696 0.2027  1 Mg 3.39, 2 La 3.40-3.73, 6 Nd 3.46-3.73
Ho 0.5938 0.2027 0.2696  1 Mg 3.39, 2 La 3.40-3.73, 6 Nd 3.46-3.73
Ho 0.9062 0.7304 0.7973  1 Mg 3.39, 2 La 3.40-3.73, 6 Nd 3.46-3.73
Mg 0.2500 0.4011 0.5989  8 Nd 3.27-3.63, 2 Ho 3.39
Mg 0.7500 0.5989 0.4011  8 Nd 3.27-3.63, 2 Ho 3.39

Output
* total moment: 0.00 μB per formula unit
* formation enthalpy at 0 K: 0.1023 eV/atom
* crystal system: monoclinic



[2]
This record from the Alexandria database describes an optimized crystal structure of Ba4SrSe5. The functional is GGA-PBE.

Unit cell a=4.6830 b=4.6830 c=16.8496 alpha=97.99 beta=97.99 gamma=90.00
Closest atoms and distances in Å follow each position.
Sites, in units of the cell vectors:
Ba 0.4018 0.4018 0.8036  6 Se 3.25-3.35
Ba 0.8009 0.8009 0.6019  6 Se 3.31-3.38
Ba 0.1991 0.1991 0.3981  6 Se 3.31-3.38
Ba 0.5982 0.5982 0.1964  6 Se 3.25-3.35
Sr 0.0000 0.0000 0.0000  6 Se 3.19-3.31
Se 0.0967 0.0967 0.1933  1 Sr 3.19, 5 Ba 3.31-3.38
Se 0.5000 0.5000 0.0000  2 Ba 3.25, 4 Sr 3.31
Se 0.9033 0.9033 0.8067  1 Sr 3.19, 5 Ba 3.31-3.38
Se 0.3003 0.3003 0.6005  6 Ba 3.31-3.35
Se 0.6997 0.6997 0.3995  6 Ba 3.31-3.35

Output
* total moment: 0.00 μB per formula unit
* uncorrected formation energy: -2.0418 eV per atom
* crystal system: tetragonal